Record 1
A relaxed structure of DyBiN2O, computed with PBE-GGA.

E	-6.26	eV per atom
crystal system	hexagonal
ρ	8.9	g/cm³
SG	P6_3/mmc

Lattice parameters (Å, degrees): 6.055 6.055 14.698 90.00 90.00 120.00
Fractional positions:
Dy: 0.000 0.000 0.250
Dy: 0.000 0.000 0.750
Dy: 0.333 0.667 0.143
Dy: 0.333 0.667 0.357
Dy: 0.667 0.333 0.643
Dy: 0.667 0.333 0.857
Bi: 0.000 0.000 0.000
Bi: 0.000 0.000 0.500
Bi: 0.333 0.667 0.637
Bi: 0.333 0.667 0.863
Bi: 0.667 0.333 0.137
Bi: 0.667 0.333 0.363
N: 0.141 0.282 0.610
N: 0.141 0.282 0.890
N: 0.141 0.859 0.610
N: 0.141 0.859 0.890
N: 0.282 0.141 0.110
N: 0.282 0.141 0.390
N: 0.718 0.859 0.610
N: 0.718 0.859 0.890
N: 0.859 0.141 0.110
N: 0.859 0.141 0.390
N: 0.859 0.718 0.110
N: 0.859 0.718 0.390
O: 0.035 0.518 0.250
O: 0.482 0.518 0.250
O: 0.482 0.965 0.250
O: 0.518 0.035 0.750
O: 0.518 0.482 0.750
O: 0.965 0.482 0.750



Record 2
A relaxed structure of TbCuIr, computed with PBE-GGA.

E	-5.87	eV per atom
crystal system	cubic
ρ	10.9	g/cm³
SG	F-43m

Lattice parameters (Å, degrees): 6.322 6.322 6.322 90.00 90.00 90.00
Fractional positions:
Tb: 0.000 0.000 0.000
Tb: 0.000 0.500 0.500
Tb: 0.500 0.000 0.500
Tb: 0.500 0.500 0.000
Cu: 0.000 0.000 0.500
Cu: 0.000 0.500 0.000
Cu: 0.500 0.000 0.000
Cu: 0.500 0.500 0.500
Ir: 0.250 0.250 0.750
Ir: 0.250 0.750 0.250
Ir: 0.750 0.250 0.250
Ir: 0.750 0.750 0.750



Record 3
A relaxed structure of RbErGaTe3, computed with PBE-GGA.

E	-3.93	eV per atom
crystal system	orthorhombic
ρ	5.3	g/cm³
SG	Cmcm

Lattice parameters (Å, degrees): 8.320 8.320 11.638 90.00 90.00 146.66
Fractional positions:
Rb: 0.248 0.752 0.750
Rb: 0.752 0.248 0.250
Er: 0.000 0.000 0.000
Er: 0.000 0.000 0.500
Ga: 0.477 0.523 0.250
Ga: 0.523 0.477 0.750
Te: 0.064 0.936 0.250
Te: 0.377 0.623 0.055
Te: 0.377 0.623 0.445
Te: 0.623 0.377 0.555
Te: 0.623 0.377 0.945
Te: 0.936 0.064 0.750



Record 4
A relaxed structure of DyBeSn, computed with PBE-GGA.

E	-3.96	eV per atom
crystal system	cubic
ρ	6.6	g/cm³
SG	F-43m

Lattice parameters (Å, degrees): 6.624 6.624 6.624 90.00 90.00 90.00
Fractional positions:
Dy: 0.000 0.000 0.000
Dy: 0.000 0.500 0.500
Dy: 0.500 0.000 0.500
Dy: 0.500 0.500 0.000
Be: 0.000 0.000 0.500
Be: 0.000 0.500 0.000
Be: 0.500 0.000 0.000
Be: 0.500 0.500 0.500
Sn: 0.250 0.250 0.750
Sn: 0.250 0.750 0.250
Sn: 0.750 0.250 0.250
Sn: 0.750 0.750 0.750